<one>
This record from the Alexandria database describes an optimized crystal structure of DyNpSe2. The functional is PBE-GGA.

Cell and atoms, written as POSCAR:
```
DyNpSe2
1.0
-1.777 2.674 -2.271
0.329 -0.213 -3.913
-6.462 -3.385 -2.335
Dy Np Se
1 1 2
Cartesian
-7.370 -1.705 -6.455 Dy
-4.020 -0.508 -4.263 Np
-5.020 -2.371 -2.269 Se
-1.916 -0.188 -2.127 Se
```

---

<two>
This record from the Alexandria database describes an optimized crystal structure of DyNpSe2. The functional is PBE-GGA.

Cell and atoms, written as POSCAR:
```
DyNpSe2
1.0
-1.691 -2.900 -2.327
-0.021 -3.883 1.269
-6.448 -1.247 2.654
Np Se Dy
1 2 1
Cartesian
0.000 0.000 0.000 Np
-2.057 -2.005 0.408 Se
-6.103 -6.025 1.189 Se
-4.080 -4.015 0.798 Dy
```

---

Most stable pick: <two>. Distance to second place: 6.8 kJ/mol of atoms.

---

<one>
This record from the Alexandria database describes an optimized crystal structure of Dy2OsO6. The functional is PBE-GGA.

Cell and atoms, written as POSCAR:
```
Dy2OsO6
1.0
5.422 0.000 -0.603
0.000 5.768 0.000
-0.171 0.000 7.821
Dy Os O
4 2 12
Cartesian
5.047 2.380 5.416 Dy
2.830 5.264 5.411 Dy
2.421 0.504 1.807 Dy
0.204 3.388 1.802 Dy
2.711 2.884 -0.301 Os
-0.085 0.000 3.910 Os
4.473 5.312 1.664 O
4.541 4.212 4.140 O
4.145 3.886 6.918 O
3.731 1.002 3.909 O
3.336 1.328 6.687 O
3.574 2.428 1.342 O
0.778 0.456 5.553 O
0.711 1.556 3.078 O
1.106 1.882 0.300 O
1.520 4.766 3.309 O
1.915 4.440 0.531 O
1.677 3.340 5.876 O
```

---

<two>
This record from the Alexandria database describes an optimized crystal structure of Dy2OsO6. The functional is PBE-GGA.

Cell and atoms, written as POSCAR:
```
Dy2OsO6
1.0
-3.038 2.262 -3.253
-3.961 -1.612 2.577
0.234 8.294 5.549
Dy Os O
4 2 12
Cartesian
0.077 2.740 1.833 Dy
-3.305 7.212 4.270 Dy
-3.459 1.732 0.603 Dy
0.157 5.554 3.716 Dy
0.000 0.000 0.000 Os
-3.382 4.472 2.437 Os
-2.113 3.148 1.757 O
-4.719 3.390 1.506 O
-3.589 6.200 6.235 O
-3.009 8.631 2.577 O
-3.755 0.313 2.296 O
-3.176 2.744 -1.362 O
-2.045 5.554 3.368 O
-4.652 5.796 3.116 O
-1.912 0.178 -0.185 O
-5.086 0.472 -0.491 O
-3.634 3.413 4.030 O
-3.130 5.531 0.843 O
```

---

Most stable pick: <one>. Distance to second place: 1.8 kJ/mol of atoms.

---

<one>
This record from the Alexandria database describes an optimized crystal structure of DyP5O14. The functional is PBE-GGA.

Cell and atoms, written as POSCAR:
```
DyP5O14
1.0
-3.016 -8.037 -2.023
5.505 -0.229 -7.299
9.263 -5.276 7.152
Dy P O
4 20 56
Cartesian
4.552 -9.409 -7.077 Dy
7.817 -8.239 1.078 Dy
3.935 -5.302 -3.248 Dy
7.200 -4.133 4.907 Dy
6.279 -11.199 -2.984 P
9.391 -12.971 -0.582 P
6.879 -11.525 -0.131 P
2.404 -6.505 -6.319 P
5.754 -8.413 -3.732 P
4.242 -9.136 0.879 P
7.593 -11.044 3.466 P
6.071 -6.147 -6.638 P
3.462 -6.340 0.468 P
0.351 -4.568 -1.934 P
11.401 -8.973 -0.236 P
8.290 -7.201 -2.638 P
5.681 -7.394 4.468 P
4.159 -2.497 -5.636 P
7.509 -4.405 -3.049 P
5.998 -5.128 1.562 P
9.348 -7.036 4.149 P
4.873 -2.017 -2.039 P
2.361 -0.571 -1.588 P
5.472 -2.343 0.814 P
2.061 -0.820 -0.165 O
4.193 -2.034 1.480 O
5.901 -11.772 0.953 O
0.857 -8.749 -4.027 O
2.645 -9.767 -2.647 O
3.762 -9.845 -0.507 O
8.307 -12.433 3.002 O
3.187 -7.588 -6.975 O
5.607 -8.966 -5.107 O
5.974 -9.665 -2.712 O
10.095 -12.012 0.470 O
3.906 -9.996 2.043 O
6.161 -11.281 3.784 O
7.693 -10.277 -0.264 O
0.432 -7.195 -0.108 O
2.499 -6.213 -4.865 O
4.754 -7.498 -3.124 O
-0.882 -5.505 -2.284 O
3.239 -7.852 0.897 O
5.621 -8.634 0.621 O
8.040 -10.013 2.490 O
2.695 -5.158 -7.188 O
7.240 -7.746 -3.679 O
9.601 -7.876 -3.189 O
11.389 -8.894 -1.808 O
5.306 -5.828 -5.411 O
7.992 -7.445 -1.213 O
10.123 -8.658 0.432 O
1.629 -4.883 -2.602 O
3.760 -6.097 -0.957 O
6.446 -7.713 3.241 O
0.363 -4.647 -0.362 O
2.151 -5.665 1.019 O
4.512 -5.795 1.509 O
9.057 -8.383 5.018 O
3.711 -3.529 -4.660 O
6.131 -4.907 -2.791 O
8.513 -5.689 -3.067 O
12.634 -8.036 0.114 O
6.998 -6.044 0.954 O
9.253 -7.328 2.695 O
11.319 -6.347 -2.062 O
4.059 -3.265 -1.906 O
5.591 -2.261 -5.954 O
7.846 -3.545 -4.213 O
1.657 -1.530 -2.640 O
5.778 -3.877 0.542 O
8.565 -5.953 4.805 O
6.145 -4.575 2.937 O
3.445 -1.108 -5.172 O
7.990 -3.697 -1.663 O
9.107 -3.774 0.477 O
10.895 -4.793 1.857 O
5.851 -1.770 -3.123 O
7.559 -11.508 -3.650 O
9.690 -12.721 -2.005 O
```

---

<two>
This record from the Alexandria database describes an optimized crystal structure of DyP5O14. The functional is PBE-GGA.

Cell and atoms, written as POSCAR:
```
DyP5O14
1.0
9.205 -0.005 0.003
0.074 9.205 0.003
0.247 0.245 12.607
Dy P O
4 20 56
Cartesian
4.634 4.976 9.459 Dy
0.572 9.073 9.459 Dy
4.892 4.469 3.155 Dy
8.954 0.372 3.155 Dy
6.391 5.795 6.285 P
5.972 6.464 12.589 P
7.783 4.612 11.256 P
8.289 1.821 12.182 P
7.758 1.295 6.736 P
8.605 4.015 3.057 P
4.972 1.824 7.661 P
4.211 8.693 9.361 P
3.135 3.651 6.328 P
1.743 4.833 1.357 P
8.903 6.381 4.923 P
2.946 0.474 1.387 P
4.555 7.621 4.953 P
3.554 2.982 0.025 P
0.623 3.064 7.690 P
1.237 7.625 0.432 P
6.581 8.971 11.227 P
0.921 5.431 9.557 P
5.315 0.752 3.253 P
1.768 8.150 5.878 P
5.021 6.123 11.491 O
1.404 8.608 7.238 O
3.333 7.698 5.955 O
9.094 2.653 3.392 O
1.899 0.995 2.287 O
8.391 7.432 4.023 O
4.384 6.685 3.826 O
4.469 7.267 9.050 O
7.850 3.389 12.259 O
6.672 0.252 2.918 O
1.676 6.056 0.355 O
1.030 8.237 11.679 O
3.484 4.599 7.427 O
9.147 4.967 4.274 O
4.358 0.218 2.036 O
7.457 5.818 12.231 O
2.069 3.628 0.383 O
5.168 9.227 10.578 O
5.410 5.967 1.404 O
0.412 7.857 1.654 O
3.389 3.964 4.906 O
7.181 4.285 2.747 O
6.846 4.449 10.130 O
6.332 8.051 12.496 O
3.769 2.161 6.687 O
5.143 2.760 8.787 O
1.545 3.305 6.421 O
4.781 9.125 4.539 O
3.195 1.394 0.118 O
9.289 4.826 10.843 O
2.854 9.194 9.696 O
8.122 0.838 5.376 O
7.627 8.450 10.327 O
1.543 8.978 4.656 O
4.116 3.478 11.210 O
1.100 6.658 5.600 O
7.984 0.467 7.958 O
7.981 6.140 6.193 O
6.042 4.847 5.187 O
4.745 0.320 8.075 O
0.237 4.619 1.771 O
2.680 4.996 2.484 O
0.432 6.792 9.222 O
6.791 1.166 11.904 O
0.379 4.478 8.340 O
8.496 1.208 0.935 O
5.057 2.178 3.563 O
6.194 1.747 6.659 O
9.115 1.589 10.960 O
6.137 5.481 7.708 O
2.735 8.280 0.710 O
2.345 5.161 9.867 O
4.505 3.322 1.123 O
1.135 2.013 8.591 O
8.426 2.787 7.013 O
5.757 7.284 5.927 O
```

---

Most stable pick: <two>. Distance to second place: 0.8 kJ/mol of atoms.

---

<one>
This record from the Alexandria database describes an optimized crystal structure of DyP2O2. The functional is PBE-GGA.

Cell and atoms, written as POSCAR:
```
DyP2O2
1.0
-3.449 3.449 9.007
3.449 -3.449 9.007
3.449 3.449 -9.007
Dy P O
4 8 8
Cartesian
0.000 1.724 2.252 Dy
0.000 5.173 2.252 Dy
1.724 3.449 6.755 Dy
-1.724 3.449 6.755 Dy
3.449 1.114 7.591 P
3.449 -1.114 7.591 P
1.114 0.000 12.094 P
0.000 1.114 5.919 P
3.449 2.335 -3.088 P
2.335 3.449 3.088 P
2.335 0.000 1.416 P
4.563 0.000 1.416 P
0.000 4.801 0.149 O
0.000 2.097 0.149 O
1.352 0.000 13.659 O
0.000 1.352 4.354 O
3.449 2.097 -4.652 O
2.097 3.449 4.652 O
-1.352 3.449 8.858 O
1.352 3.449 8.858 O
```

---

<two>
This record from the Alexandria database describes an optimized crystal structure of DyP2O2. The functional is PBE-GGA.

Cell and atoms, written as POSCAR:
```
DyP2O2
1.0
-4.871 4.871 3.961
4.871 -4.871 3.961
4.871 4.871 -3.961
Dy P O
4 8 8
Cartesian
4.871 -2.436 2.971 Dy
4.871 2.436 2.971 Dy
2.436 0.000 0.990 Dy
7.307 0.000 0.990 Dy
4.871 2.814 -2.071 P
0.000 2.057 1.891 P
2.057 4.871 -0.090 P
0.000 2.814 4.051 P
4.871 2.057 0.090 P
2.814 0.000 3.871 P
2.814 4.871 2.071 P
2.057 0.000 6.032 P
0.000 6.365 1.014 O
0.000 3.378 1.014 O
3.378 4.871 -0.966 O
0.000 1.494 4.927 O
4.871 3.378 0.966 O
1.494 0.000 2.995 O
1.494 4.871 2.947 O
-1.494 4.871 2.947 O
```

---

Most stable pick: <one>. Distance to second place: 30.7 kJ/mol of atoms.

---

<one>
This record from the Alexandria database describes an optimized crystal structure of Dy2PO. The functional is PBE-GGA.

Cell and atoms, written as POSCAR:
```
Dy2PO
1.0
-1.044 3.399 1.152
-3.395 1.304 -0.861
-3.679 -0.820 5.150
P O Dy
1 1 2
Cartesian
0.000 0.000 0.000 P
-4.059 1.941 2.720 O
-2.084 0.911 1.486 Dy
-6.033 2.972 3.954 Dy
```

---

<two>
This record from the Alexandria database describes an optimized crystal structure of Dy2PO. The functional is PBE-GGA.

Cell and atoms, written as POSCAR:
```
Dy2PO
1.0
3.640 0.000 0.000
1.820 3.152 0.000
1.820 1.051 6.514
Dy P O
2 1 1
Cartesian
1.820 1.051 4.804 Dy
1.820 1.051 1.652 Dy
5.459 3.152 6.486 P
3.640 2.101 3.342 O
```

---

Most stable pick: <one>. Distance to second place: 20.5 kJ/mol of atoms.

---

<one>
This record from the Alexandria database describes an optimized crystal structure of Dy2PbO. The functional is PBE-GGA.

Cell and atoms, written as POSCAR:
```
Dy2PbO
1.0
4.528 0.000 -0.003
0.000 4.528 -0.003
0.004 0.004 8.865
Dy Pb O
4 2 2
Cartesian
3.400 3.400 7.352 Dy
3.398 1.134 4.429 Dy
1.131 1.131 1.507 Dy
1.134 3.398 4.429 Dy
1.136 1.136 7.114 Pb
3.396 3.396 1.745 Pb
1.133 1.133 3.791 O
3.398 3.398 5.068 O
```

---

<two>
This record from the Alexandria database describes an optimized crystal structure of Dy2PbO. The functional is PBE-GGA.

Cell and atoms, written as POSCAR:
```
Dy2PbO
1.0
3.189 0.000 0.000
0.000 3.189 0.000
0.000 0.000 7.854
Pb O Dy
1 1 2
Cartesian
1.595 1.595 3.927 Pb
1.595 1.595 0.000 O
0.000 0.000 6.315 Dy
0.000 0.000 1.539 Dy
```

---

<three>
This record from the Alexandria database describes an optimized crystal structure of Dy2PbO. The functional is PBE-GGA.

Cell and atoms, written as POSCAR:
```
Dy2PbO
1.0
-0.924 2.813 2.006
-2.818 -0.215 2.193
3.338 -1.653 7.043
Pb O Dy
1 1 2
Cartesian
-0.202 0.472 5.621 Pb
0.000 0.000 0.000 O
-0.481 0.445 2.343 Dy
0.077 0.500 8.899 Dy
```

---

Most stable pick: <one>. Distance to second place: 19.8 kJ/mol of atoms.

---

<one>
This record from the Alexandria database describes an optimized crystal structure of Dy2Pd2O7. The functional is PBE-GGA.

Cell and atoms, written as POSCAR:
```
Dy2Pd2O7
1.0
5.465 -0.244 -0.665
-0.252 4.949 -0.425
-1.024 -0.487 5.458
Dy Pd O
2 2 7
Cartesian
3.419 2.504 3.088 Dy
0.769 1.714 1.280 Dy
3.531 4.453 0.410 Pd
0.657 -0.236 3.957 Pd
4.761 0.741 2.272 O
1.502 3.174 4.285 O
-0.572 3.477 2.096 O
2.686 1.044 0.083 O
0.000 0.000 0.000 O
2.247 3.369 1.516 O
1.942 0.849 2.852 O
```

---

<two>
This record from the Alexandria database describes an optimized crystal structure of Dy2Pd2O7. The functional is PBE-GGA.

Cell and atoms, written as POSCAR:
```
Dy2Pd2O7
1.0
6.279 0.000 3.625
2.093 5.920 3.625
0.000 0.000 7.251
Dy Pd O
4 4 14
Cartesian
5.233 3.700 9.064 Dy
5.233 3.700 5.438 Dy
4.186 0.740 7.251 Dy
2.093 3.700 7.251 Dy
4.186 0.740 3.625 Pd
2.093 3.700 3.625 Pd
1.047 0.740 5.438 Pd
1.047 0.740 1.813 Pd
1.802 1.275 7.251 O
2.994 4.646 5.186 O
2.994 0.206 5.186 O
3.896 2.755 3.625 O
6.279 4.440 10.876 O
5.378 1.275 5.186 O
2.994 0.206 2.064 O
1.192 2.755 5.186 O
0.291 0.206 3.625 O
1.192 2.755 2.064 O
2.994 4.646 9.315 O
4.186 2.960 7.251 O
5.378 1.275 9.315 O
6.570 4.646 7.251 O
```

---

Most stable pick: <two>. Distance to second place: 37.5 kJ/mol of atoms.